Crystalline Fe2Pt4Rh3 at its relaxed geometry, computed with PBE.

Unit cell a=4.7415 b=4.7415 c=8.2106 alpha=106.85 beta=106.85 gamma=48.34
Last column: nearest neighbours and their distance in Å.
Element x y z (fractional)
Fe 0.1675 0.1675 0.2249  5 Rh 2.67-2.75, 7 Pt 2.72-2.76
Fe 0.8325 0.8325 0.7751  5 Rh 2.67-2.75, 7 Pt 2.72-2.76
Pt 0.1664 0.1664 0.8908  4 Pt 2.73, 4 Rh 2.73-2.80, 4 Fe 2.74-2.76
Pt 0.4991 0.4991 0.3295  6 Rh 2.71-2.78, 3 Fe 2.72, 3 Pt 2.73-2.79
Pt 0.5009 0.5009 0.6705  6 Rh 2.71-2.78, 3 Fe 2.72, 3 Pt 2.73-2.79
Pt 0.8336 0.8336 0.1092  4 Pt 2.73, 4 Rh 2.73-2.80, 4 Fe 2.74-2.76
Rh 0.1674 0.1674 0.5499  3 Fe 2.67-2.75, 3 Rh 2.69-2.75, 6 Pt 2.74-2.80
Rh 0.5000 0.5000 0.0000  8 Pt 2.71-2.74, 4 Fe 2.75
Rh 0.8326 0.8326 0.4501  3 Fe 2.67-2.75, 3 Rh 2.69-2.75, 6 Pt 2.74-2.80

Computed properties:
Magnetization, μB per formula unit: 7.927
ΔH_f (0 K), eV per atom: -0.13
Symmetry: No. 12